# NbHg3S

A relaxed structure of NbHg3S (PBE, Alexandria).

The structure in CIF format:
```
data_NbHg3S
_chemical_formula_sum 'Nb1 Hg3 S1'
_space_group_name_H-M_alt 'P m -3 m'
_space_group_IT_number 221
_space_group_name_Hall '-P 4 2 3'
_cell_length_a 5.440
_cell_length_b 5.440
_cell_length_c 5.440
_cell_angle_alpha 90.00
_cell_angle_beta 90.00
_cell_angle_gamma 90.00
loop_
_atom_site_label
_atom_site_fract_x
_atom_site_fract_y
_atom_site_fract_z
_atom_site_occupancy
Nb1 0.000 0.000 0.000 1
Hg1 0.000 0.000 0.500 1
S1 0.500 0.500 0.500 1
```

Results
The calculation puts the total energy at -9.85 eV/cell. The value obtained for the offset from the most stable computed form is 0.00 eV/f.u.